No. 1
# PuMnAlV

A relaxed structure of PuMnAlV (PBE, the Alexandria database).

Computed properties:
E_form: -0.8 kcal/mol of atoms
theoretical density: 9.62 g/cm3

a b c (Å): 6.3836 6.3836 6.3836
angles (deg): 90.00 90.00 90.00
Last column: nearest neighbours and their distance in Å.
Space group F-43m (No. 216)
Asymmetric unit:
Pu: 0.0000 0.0000 0.0000 (multiplicity 4)  4 Mn 2.76, 4 V 2.76
Mn: 0.2500 0.2500 0.2500 (multiplicity 4)  4 Al 2.76, 4 Pu 2.76
Al: 0.0000 0.0000 0.5000 (multiplicity 4)  4 V 2.76, 4 Mn 2.76
V: 0.2500 0.2500 0.7500 (multiplicity 4)  4 Al 2.76, 4 Pu 2.76

=====

No. 2
# PmBIr

A relaxed structure of PmBIr (PBE, the Alexandria database).

Computed properties:
polymorph energy (0 for the lowest one): 412 meV per atom
E_form: -3.8 kcal/mol of atoms
theoretical density: 12.22 g/cm3

a b c (Å): 2.9685 2.9685 10.7362
angles (deg): 90.00 90.00 90.00
Last column: nearest neighbours and their distance in Å.
Space group I4mm (No. 107)
Asymmetric unit:
Pm: 0.0000 0.0000 0.0000 (multiplicity 2)  5 Ir 2.96-3.20, 4 Pm 2.97, 5 B 2.98-3.26
B: 0.0000 0.0000 0.6968 (multiplicity 2)  4 Ir 2.26
Ir: 0.0000 0.0000 0.2756 (multiplicity 2)  4 B 2.26

=====

No. 3
# Al2SiRu2

A relaxed structure of Al2SiRu2 (PBE, the Alexandria database).

Computed properties:
polymorph energy (0 for the lowest one): 16 meV per atom
theoretical density: 6.23 g/cm3

a b c (Å): 7.1070 4.1200 5.1752
angles (deg): 90.00 90.08 90.00
Last column: nearest neighbours and their distance in Å.
Space group C2/m (No. 12)
Asymmetric unit:
Al: 0.1677 0.0000 0.1316 (multiplicity 4)  5 Ru 2.54-2.65, 3 Al 2.73-2.74
Si: 0.0000 0.5000 0.5000 (multiplicity 2)  6 Ru 2.48-2.49
Ru: 0.1668 0.0000 0.6416 (multiplicity 4)  3 Si 2.48-2.49, 5 Al 2.54-2.65

=====

No. 4
# Sc3CdN

A relaxed structure of Sc3CdN (PBE, the Alexandria database).

Computed properties:
E_tot: -6.344 eV/atom
theoretical density: 4.27 g/cm3

a b c (Å): 5.6614 5.6614 21.9884
angles (deg): 90.00 90.00 120.00
Last column: nearest neighbours and their distance in Å.
Space group R-3 (No. 148, hexagonal axes)
Asymmetric unit:
Sc: 0.0083 0.3505 0.4438 (multiplicity 18)  2 N 2.22-2.24
Cd: 0.0000 0.0000 0.3367 (multiplicity 6)  6 Sc 3.06-3.09, 3 Cd 3.27
N: 0.0000 0.0000 0.1635 (multiplicity 6)  6 Sc 2.22-2.24

=====

No. 5
# LuTiCd4

A relaxed structure of LuTiCd4 (PBE, the Alexandria database).

Computed properties:
E_form: -0.2 kcal/mol of atoms
theoretical density: 8.44 g/cm3

a b c (Å): 8.0893 8.0893 8.0893
angles (deg): 90.00 90.00 90.00
Last column: nearest neighbours and their distance in Å.
Space group F-43m (No. 216)
Asymmetric unit:
Lu: 0.0000 0.0000 0.0000 (multiplicity 4)  12 Cd 3.35, 4 Ti 3.50
Ti: 0.2500 0.2500 0.7500 (multiplicity 4)  12 Cd 3.35, 4 Lu 3.50
Cd: 0.1247 0.1247 0.3753 (multiplicity 16)  6 Cd 2.85-2.87